No. 1
Np2Ga6Co | PBE | relaxed

Output
**Crystal system**: trigonal
**Formation enthalpy at 0 K**: -195 meV/atom
**Symmetry**: P-3m1, No. 164

Lattice parameters (Å, degrees): 5.397 5.892 5.892 60.01 89.98 89.98
Sites, in units of the cell vectors:
Np1 0.817 0.667 0.667
Np2 0.183 0.333 0.333
Ga1 0.306 0.344 0.828
Ga2 0.305 0.828 0.828
Ga3 0.306 0.828 0.344
Ga4 0.694 0.656 0.172
Ga5 0.695 0.172 0.172
Ga6 0.694 0.172 0.656
Co1 0.000 0.000 0.000



No. 2
FeAg2 | PBE | relaxed

Output
**Crystal system**: trigonal
**Formation enthalpy at 0 K**: 315 meV/atom
**Symmetry**: P-3m1, No. 164

Lattice parameters (Å, degrees): 2.821 2.821 7.013 90.00 90.00 120.00
Sites, in units of the cell vectors:
Ag1 0.000 0.000 0.011
Ag2 0.333 0.667 0.656
Fe1 0.667 0.333 0.333



No. 3
PmTm2ZrP4 | PBE | relaxed

Output
**Crystal system**: monoclinic
**Formation enthalpy at 0 K**: -1514 meV/atom
**Symmetry**: P2/m, No. 10

Lattice parameters (Å, degrees): 3.932 6.823 6.802 109.27 90.00 90.00
Sites, in units of the cell vectors:
Pm1 0.500 0.500 0.000
Tm1 0.500 0.000 0.500
Tm2 0.000 0.500 0.500
Zr1 0.000 0.000 0.000
P1 0.500 0.238 0.246
P2 0.500 0.762 0.754
P3 0.000 0.238 0.747
P4 0.000 0.762 0.253



No. 4
Sr2CaCl | PBE | relaxed

Output
**ΔE_f (raw)**: -0.32 eV per atom
**Crystal system**: cubic
**Polymorph energy (0 for the lowest one)**: 47.88 kJ/mol of atoms
**Symmetry**: Fm-3m, No. 225

Lattice parameters (Å, degrees): 6.350 6.350 6.350 60.00 60.00 60.00
Sites, in units of the cell vectors:
Sr1 0.250 0.250 0.250
Sr2 0.750 0.750 0.750
Ca1 0.500 0.500 0.500
Cl1 0.000 0.000 0.000



No. 5
Zn3Ag | PBE | relaxed

Output
**Crystal system**: orthorhombic
**Formation enthalpy at 0 K**: 4 meV/atom
**Symmetry**: Cmmm, No. 65

Lattice parameters (Å, degrees): 4.781 4.781 2.888 90.00 90.00 108.34
Sites, in units of the cell vectors:
Zn1 0.000 0.500 0.500
Zn2 0.500 0.000 0.500
Zn3 0.500 0.500 0.000
Ag1 0.000 0.000 0.000



No. 6
NiPtSe2Br | PBE | relaxed

Output
**ΔE_f (raw)**: 0.79 eV per atom
**Crystal system**: tetragonal
**Polymorph energy (0 for the lowest one)**: 8.72 kJ/mol of atoms
**Symmetry**: P4/mmm, No. 123

Lattice parameters (Å, degrees): 4.967 4.967 5.143 90.00 90.00 90.00
Sites, in units of the cell vectors:
Ni1 0.500 0.500 0.500
Se1 0.000 0.500 0.000
Se2 0.500 0.000 0.000
Br1 0.000 0.000 0.500
Pt1 0.000 0.000 0.000